{"formula": "Er2Tm3Th2", "functional": "PBE", "state": "relaxed", "lattice_angstrom": [[3.4174, 0.8057, -0.4417], [1.7898, 8.9868, 1.8506], [-0.9915, 0.6867, 7.7402]], "species": ["Tm", "Er", "Tm", "Tm", "Th", "Th", "Er"], "frac_coords": [[0.4259, 0.4296, 0.7107], [0.7075, 0.7175, 0.8500], [0.5741, 0.5704, 0.2893], [0.0000, 0.0000, 0.0000], [0.1462, 0.1409, 0.5733], [0.8538, 0.8591, 0.4267], [0.2925, 0.2825, 0.1500]], "e_tot_ev_per_atom": -5.315, "e_form_mev_per_atom": 25}